1.
MgTcRu4 | PBE-GGA | relaxed

Properties
- E_form (meV per atom) = 349
- M_tot (μB per cell) = 0.00
- crystal system = cubic

Lattice parameters (Å, degrees): 5.075 5.075 5.075 60.00 60.00 60.00
Atoms (fractional coordinates):
Mg 0.000 0.000 0.000
Tc 0.250 0.250 0.250
Ru 0.625 0.625 0.125
Ru 0.625 0.125 0.625
Ru 0.625 0.625 0.625
Ru 0.125 0.625 0.625

2.
Tl4Tc | PBE-GGA | relaxed

Properties
- E_form (meV per atom) = 881
- energy above the lowest structure with this stoichiometry (meV per atom) = 590
- M_tot (μB per cell) = 3.05
- crystal system = tetragonal

Lattice parameters (Å, degrees): 9.046 9.046 9.046 153.51 153.51 37.82
Last column: magnetic moment on the atom in μB.
Atoms (fractional coordinates):
Tl 0.750 0.250 0.500  -0.01
Tl 0.250 0.750 0.500  -0.01
Tl 0.586 0.586 0.000  -0.02
Tl 0.414 0.414 0.000  -0.02
Tc 0.000 0.000 0.000  2.85

3.
Mg2SiPt | PBE-GGA | relaxed

Properties
- M_tot (μB per cell) = 0.00
- crystal system = orthorhombic
- formation energy without anion corrections (eV per atom) = -0.43

Lattice parameters (Å, degrees): 4.836 4.836 2.919 90.00 90.00 108.15
Atoms (fractional coordinates):
Mg 0.000 0.000 0.000
Mg 0.500 0.500 0.000
Pt 0.500 0.000 0.500
Si 0.000 0.500 0.500

4.
Ba3TiMo | PBE-GGA | relaxed

Properties
- E_form (meV per atom) = 1824
- M_tot (μB per cell) = 0.00
- crystal system = cubic

Lattice parameters (Å, degrees): 5.872 5.872 5.872 90.00 90.00 90.00
Atoms (fractional coordinates):
Mo 0.500 0.500 0.500
Ba 0.000 0.500 0.000
Ba 0.000 0.000 0.500
Ba 0.500 0.000 0.000
Ti 0.000 0.000 0.000

5.
TlSi2Tc | PBE-GGA | relaxed

Properties
- energy above the lowest structure with this stoichiometry (meV per atom) = 0
- M_tot (μB per cell) = 0.00
- crystal system = orthorhombic
- formation energy without anion corrections (eV per atom) = 0.03

Lattice parameters (Å, degrees): 3.079 3.033 8.016 90.00 90.00 90.00
Atoms (fractional coordinates):
Si 0.000 0.750 0.083
Si 0.000 0.750 0.417
Tc 0.500 0.250 0.250
Tl 0.500 0.750 0.750

6.
HgBW2S | PBE-GGA | relaxed

Properties
- M_tot (μB per cell) = 0.00
- crystal system = tetragonal
- formation energy without anion corrections (eV per atom) = 1.19

Lattice parameters (Å, degrees): 4.343 4.299 4.343 90.00 90.00 90.00
Atoms (fractional coordinates):
S 0.500 0.500 0.500
B 0.000 0.000 0.000
Hg 0.000 0.500 0.000
W 0.000 0.000 0.500
W 0.500 0.000 0.000

7.
Ga2Ag5Hg2 | PBE-GGA | relaxed

Properties
- E_form (meV per atom) = 83
- energy above the lowest structure with this stoichiometry (meV per atom) = 0
- M_tot (μB per cell) = 0.00
- crystal system = orthorhombic

Lattice parameters (Å, degrees): 7.935 5.779 9.323 108.05 115.19 90.00
Atoms (fractional coordinates):
Ga 0.104 0.632 0.155
Ga 0.896 0.477 0.845
Ga 0.550 0.132 0.155
Ga 0.450 0.977 0.845
Ag 0.136 0.667 0.760
Ag 0.864 0.907 0.240
Ag 0.124 0.167 0.760
Ag 0.876 0.407 0.240
Ag 0.424 0.932 0.318
Ag 0.576 0.614 0.682
Ag 0.394 0.432 0.318
Ag 0.606 0.114 0.682
Ag 0.213 0.783 0.500
Ag 0.787 0.283 0.500
Hg 0.000 0.048 0.000
Hg 0.500 0.548 0.000
Hg 0.207 0.276 0.500
Hg 0.793 0.776 0.500

8.
Rb2NiAuBr6 | PBE-GGA | relaxed

Properties
- M_tot (μB per cell) = 0.70
- crystal system = tetragonal
- formation energy without anion corrections (eV per atom) = -0.83

Lattice parameters (Å, degrees): 7.573 7.573 7.539 59.85 59.85 90.00
Last column: magnetic moment on the atom in μB.
Atoms (fractional coordinates):
Ni 0.500 0.500 0.000  0.58
Au 0.000 0.000 0.000  0.01
Br 0.240 0.240 0.520  0.03
Br 0.760 0.760 0.480  0.03
Br 0.273 0.273 0.000  0.00
Br 0.727 0.727 0.000  0.00
Br 0.727 0.273 0.000  0.00
Br 0.273 0.727 0.000  0.00
Rb 0.750 0.250 0.500  0.00
Rb 0.250 0.750 0.500  0.00